No. 1
Density functional theory data (meta-GGA SCAN) for Zr3Hg at its PBEsol-relaxed geometry.

Calculated values
space-group type	P4/mmm
E_form	-0.20	eV/atom

```
data_Zr3Hg
_cell_length_a 3.1537
_cell_length_b 3.1537
_cell_length_c 8.6891
_cell_angle_alpha 90.00
_cell_angle_beta 90.00
_cell_angle_gamma 90.00
_symmetry_space_group_name_H-M 'P 1'
_symmetry_Int_Tables_number 1
_symmetry_space_group_name_Hall 'P 1'
loop_
_atom_site_label
_atom_site_fract_x
_atom_site_fract_y
_atom_site_fract_z
_atom_site_occupancy
Zr1 0.0000 0.0000 0.5000 1
Zr2 0.5000 0.5000 0.2447 1
Zr3 0.5000 0.5000 0.7553 1
Hg1 0.0000 0.0000 0.0000 1
```

***

No. 2
Density functional theory data (meta-GGA SCAN) for ZrHg at its PBEsol-relaxed geometry.

Calculated values
space-group type	Pmmn
E_form	-0.24	eV/atom

```
data_ZrHg
_cell_length_a 3.3344
_cell_length_b 4.0418
_cell_length_c 6.2393
_cell_angle_alpha 90.00
_cell_angle_beta 90.00
_cell_angle_gamma 90.00
_symmetry_space_group_name_H-M 'P 1'
_symmetry_Int_Tables_number 1
_symmetry_space_group_name_Hall 'P 1'
loop_
_atom_site_label
_atom_site_fract_x
_atom_site_fract_y
_atom_site_fract_z
_atom_site_occupancy
Hg1 0.0000 0.0000 0.6300 1
Hg2 0.5000 0.5000 0.3700 1
Zr1 0.0000 0.0000 0.1344 1
Zr2 0.5000 0.5000 0.8656 1
```

***

No. 3
Density functional theory data (meta-GGA SCAN) for Zr5Hg at its PBEsol-relaxed geometry.

Calculated values
space-group type	Cm
E_form	-0.10	eV/atom
energy above the most stable polymorph in this dataset	41	meV/atom

```
data_Zr5Hg
_cell_length_a 3.1331
_cell_length_b 5.9362
_cell_length_c 7.5449
_cell_angle_alpha 105.20
_cell_angle_beta 90.00
_cell_angle_gamma 105.30
_symmetry_space_group_name_H-M 'P 1'
_symmetry_Int_Tables_number 1
_symmetry_space_group_name_Hall 'P 1'
loop_
_atom_site_label
_atom_site_fract_x
_atom_site_fract_y
_atom_site_fract_z
_atom_site_occupancy
Zr1 0.0608 0.1217 0.6076 1
Zr2 0.3370 0.6740 0.6763 1
Zr3 0.6764 0.3528 0.3286 1
Zr4 0.7062 0.4124 0.9478 1
Zr5 0.3960 0.7921 0.2764 1
Hg1 0.9902 0.9803 0.9965 1
```

***

No. 4
Density functional theory data (meta-GGA SCAN) for ZrHg3 at its PBEsol-relaxed geometry.

Calculated values
space-group type	Pm-3m
E_form	-0.18	eV/atom

```
data_ZrHg3
_cell_length_a 4.3618
_cell_length_b 4.3618
_cell_length_c 4.3618
_cell_angle_alpha 90.00
_cell_angle_beta 90.00
_cell_angle_gamma 90.00
_symmetry_space_group_name_H-M 'P 1'
_symmetry_Int_Tables_number 1
_symmetry_space_group_name_Hall 'P 1'
loop_
_atom_site_label
_atom_site_fract_x
_atom_site_fract_y
_atom_site_fract_z
_atom_site_occupancy
Hg1 0.5000 0.5000 0.0000 1
Hg2 0.0000 0.5000 0.5000 1
Hg3 0.5000 0.0000 0.5000 1
Zr1 0.0000 0.0000 0.0000 1
```

***

No. 5
Density functional theory data (meta-GGA SCAN) for Zr3Hg at its PBEsol-relaxed geometry.

Calculated values
space-group type	I4/mmm
E_form	-0.26	eV/atom

```
data_Zr3Hg
_cell_length_a 4.3350
_cell_length_b 4.3350
_cell_length_c 9.4309
_cell_angle_alpha 103.29
_cell_angle_beta 103.29
_cell_angle_gamma 90.00
_symmetry_space_group_name_H-M 'P 1'
_symmetry_Int_Tables_number 1
_symmetry_space_group_name_Hall 'P 1'
loop_
_atom_site_label
_atom_site_fract_x
_atom_site_fract_y
_atom_site_fract_z
_atom_site_occupancy
Zr1 0.5000 0.0000 0.0000 1
Zr2 0.0000 0.5000 0.0000 1
Zr3 0.7500 0.2500 0.5000 1
Zr4 0.8767 0.8767 0.7535 1
Zr5 0.1233 0.1233 0.2465 1
Zr6 0.2500 0.7500 0.5000 1
Hg1 0.6247 0.6247 0.2493 1
Hg2 0.3753 0.3753 0.7507 1
```

***

No. 6
Density functional theory data (meta-GGA SCAN) for Zr2Hg at its PBEsol-relaxed geometry.

Calculated values
space-group type	P4/mmm
E_form	0.17	eV/atom

```
data_Zr2Hg
_cell_length_a 3.9048
_cell_length_b 4.3234
_cell_length_c 4.3234
_cell_angle_alpha 90.00
_cell_angle_beta 90.00
_cell_angle_gamma 90.00
_symmetry_space_group_name_H-M 'P 1'
_symmetry_Int_Tables_number 1
_symmetry_space_group_name_Hall 'P 1'
loop_
_atom_site_label
_atom_site_fract_x
_atom_site_fract_y
_atom_site_fract_z
_atom_site_occupancy
Zr1 0.5000 0.5000 0.0000 1
Zr2 0.5000 0.0000 0.5000 1
Hg1 0.0000 0.0000 0.0000 1
```

***

no.,M_tot (μB/cell),DOS(E_F) (states/eV per cell)
1,0.00,3.37
2,0.00,2.37
3,0.00,5.88
4,0.00,3.52
5,0.00,7.08
6,0.00,4.01